VASP calculation (GGA+U) on an optimized crystal structure of LiCoAsO4.

Cell lengths 5.1525, 5.1525, 6.3481 Å; angles 90.00, 90.00, 113.00 degrees
Atoms (fractional coordinates):
1 Li 0.1651 0.8349 0.7500
2 Li 0.8349 0.1651 0.2500
3 Co 0.5000 0.5000 0.0000
4 Co 0.5000 0.5000 0.5000
5 As 0.1516 0.8484 0.2500
6 As 0.8484 0.1516 0.7500
7 O 0.2159 0.2592 0.7500
8 O 0.2592 0.2159 0.2500
9 O 0.2635 0.7365 0.0273
10 O 0.2635 0.7365 0.4727
11 O 0.7365 0.2635 0.5273
12 O 0.7365 0.2635 0.9727
13 O 0.7408 0.7841 0.7500
14 O 0.7841 0.7408 0.2500

Properties
polymorph energy (0 for the lowest one) = 0.000 eV per atom